Entry 1:
DFT (GGA-PBE) results for a relaxed structure of Ta4OsN.

The structure belongs to space group I4_1/amd (No. 141, origin choice 2); the cell edges are 8.086, 8.086 and 6.998 Å and the angles 90.00°, 90.00° and 90.00°. The asymmetric unit holds Ta at (0.000, 0.057, 0.200), Os at (0.000, 0.250, 0.875) and N at (0.000, 0.250, 0.375).

The crystal system is tetragonal. Its final energy is -263.0 eV for the cell shown. Its formation energy from raw total energies is 0.20 eV/atom.

***

Entry 2:
DFT (GGA-PBE) results for a relaxed structure of RbY.

The structure belongs to space group Fddd (No. 70, origin choice 2); the cell edges are 7.169, 11.493 and 20.522 Å and the angles 90.00°, 90.00° and 90.00°. The asymmetric unit holds Rb at (0.125, 0.287, 0.125) and Y at (0.125, 0.125, 0.545).

The crystal system is orthorhombic. Its final energy is -91.8 eV for the cell shown.

***

Entry 3:
DFT (GGA-PBE) results for a relaxed structure of Zr2Pt.

The structure belongs to space group Fd-3m (No. 227, origin choice 2); the cell edges are 7.811, 7.811 and 7.811 Å and the angles 90.00°, 90.00° and 90.00°. The asymmetric unit holds Zr at (0.000, 0.000, 0.000) and Pt at (0.125, 0.125, 0.625).

The crystal system is cubic. Its final energy is -184.7 eV for the cell shown.

***

Entry 4:
DFT (GGA-PBE) results for a relaxed structure of CoBr.

The structure belongs to space group I4_1/amd (No. 141, origin choice 2); the cell edges are 3.582, 3.582 and 12.748 Å and the angles 90.00°, 90.00° and 90.00°. The asymmetric unit holds Co at (0.000, 0.250, 0.375) and Br at (0.000, 0.250, 0.875).

The distance to the lowest polymorph of the same formula is 1.468 eV per formula unit. The crystal system is tetragonal. Its final energy is -30.2 eV for the cell shown. Its formation energy from raw total energies is 0.62 eV/atom.